P:
Density functional theory data (PBE) for a relaxed structure of Y2SbAs2.

The calculation puts the total moment at 0.0 Bohr magnetons per cell.

The space group is P4/mbm (No. 127) and the conventional cell measures 7.919, 7.919 and 3.874 Å, with angles of 90.00, 90.00 and 90.00 degrees. The inequivalent atoms are Y at (0.160, 0.340, 0.000), Sb at (0.000, 0.000, 0.500) and As at (0.146, 0.646, 0.500).

=====

Q:
Density functional theory data (PBE) for a relaxed structure of Y2SbAs2.

The calculation puts the total moment at 0.0 Bohr magnetons per cell.

The space group is I4/mmm (No. 139) and the conventional cell measures 3.965, 3.965 and 15.687 Å, with angles of 90.00, 90.00 and 90.00 degrees. The inequivalent atoms are Y at (0.000, 0.000, 0.110), Sb at (0.000, 0.000, 0.500) and As at (0.000, 0.500, 0.250).

=====

The least stable of them is P.

=====

P:
Density functional theory data (PBE) for a relaxed structure of Zn2SbAs.

The calculation puts the total moment at 0.0 Bohr magnetons per cell.

The space group is C2/m (No. 12) and the conventional cell measures 6.561, 3.770 and 7.006 Å, with angles of 90.00, 108.10 and 90.00 degrees. The inequivalent atoms are Zn at (0.239, 0.000, 0.215), Sb at (0.000, 0.000, 0.500) and As at (0.000, 0.500, 0.000).

=====

Q:
Density functional theory data (PBE) for a relaxed structure of Zn2SbAs.

The calculation puts the total moment at 0.0 Bohr magnetons per cell.

The space group is F-43m (No. 216) and the conventional cell measures 6.892, 6.892 and 6.892 Å, with angles of 90.00, 90.00 and 90.00 degrees. The inequivalent atoms are Zn at (0.000, 0.000, 0.000), Zn at (0.250, 0.250, 0.250), Sb at (0.250, 0.250, 0.750) and As at (0.000, 0.000, 0.500).

=====

The least stable of them is Q.

=====

P:
Density functional theory data (PBE) for a relaxed structure of Zn2SbAs.

The calculation puts the total moment at 0.0 Bohr magnetons per cell.

The space group is Pmmm (No. 47) and the conventional cell measures 3.863, 3.980 and 5.335 Å, with angles of 90.00, 90.00 and 90.00 degrees. The inequivalent atoms are Zn at (0.000, 0.000, 0.000), Zn at (0.500, 0.000, 0.500), Sb at (0.000, 0.500, 0.500) and As at (0.500, 0.500, 0.000).

=====

Q:
Density functional theory data (PBE) for a relaxed structure of Zn2SbAs.

The calculation puts the total moment at 0.0 Bohr magnetons per cell.

The space group is P2/m (No. 10) and the conventional cell measures 4.502, 3.840 and 5.200 Å, with angles of 90.00, 107.03 and 90.00 degrees. The inequivalent atoms are Zn at (0.206, 0.000, 0.258), Sb at (0.500, 0.500, 0.000) and As at (0.000, 0.500, 0.500).

=====

The least stable of them is P.

=====

P:
Density functional theory data (PBE) for a relaxed structure of Zn2SbAs.

The calculation puts the total moment at 0.0 Bohr magnetons per cell.

The space group is Cm (No. 8) and the conventional cell measures 8.025, 3.847 and 5.951 Å, with angles of 90.00, 111.21 and 90.00 degrees. The inequivalent atoms are Zn at (0.000, 0.000, 0.000), Zn at (0.213, 0.000, 0.775), Sb at (0.273, 0.500, 0.230) and As at (0.456, 0.000, 0.606).

=====

Q:
Density functional theory data (PBE) for a relaxed structure of Zn2SbAs.

The calculation puts the total moment at 0.0 Bohr magnetons per cell.

The space group is Cmmm (No. 65) and the conventional cell measures 3.923, 5.395 and 7.804 Å, with angles of 90.00, 90.00 and 90.00 degrees. The inequivalent atoms are Zn at (0.000, 0.000, 0.224), Sb at (0.000, 0.500, 0.500) and As at (0.000, 0.500, 0.000).

=====

R:
Density functional theory data (PBE) for a relaxed structure of Zn2SbAs.

The calculation puts the total moment at 0.0 Bohr magnetons per cell.

The space group is R3m (No. 160, hexagonal axes) and the conventional cell measures 3.2334, 3.2334 and 27.2756 Å, with angles of 90.00, 90.00 and 120.00 degrees. The inequivalent atoms are Zn at (0.0000, 0.0000, 0.0000), Zn at (0.0000, 0.0000, 0.2625), Sb at (0.0000, 0.0000, 0.5112) and As at (0.0000, 0.0000, 0.7375).

=====

The least stable of them is R.